1.
VASP calculation (PBE) on crystalline PrTlSn2Br8 at its relaxed geometry.

Unit cell a=6.9503 b=7.3148 c=9.1650 alpha=89.93 beta=89.95 gamma=89.05
Fractional positions:
Pr1 0.0000 0.0000 0.0000
Tl1 0.0000 0.0000 0.5000
Sn1 0.5003 0.5002 0.2550
Sn2 0.4997 0.4998 0.7450
Br1 0.2466 0.8369 0.2264
Br2 0.2465 0.8367 0.7736
Br3 0.2483 0.3247 0.9995
Br4 0.2758 0.3650 0.5007
Br5 0.7242 0.6350 0.4993
Br6 0.7517 0.6753 0.0005
Br7 0.7535 0.1633 0.2264
Br8 0.7534 0.1631 0.7736

calculated total energy	-0.129	Ha/atom
formation energy from raw total energies	-1131	meV per atom
crystal system	triclinic


2.
VASP calculation (PBE) on crystalline MgSbBr2 at its relaxed geometry.

Unit cell a=5.6960 b=5.6960 c=5.6960 alpha=129.93 beta=129.93 gamma=73.51
Fractional positions:
Mg1 0.0000 0.0000 0.0000
Sb1 0.5000 0.5000 0.0000
Br1 0.2500 0.7500 0.5000
Br2 0.7500 0.2500 0.5000

calculated total energy	-0.085	Ha/atom
distance to the lowest polymorph of the same formula	716	meV/atom
formation energy from raw total energies	-47	meV per atom
crystal system	tetragonal


3.
VASP calculation (PBE) on crystalline CeYRuRh at its relaxed geometry.

Unit cell a=4.8792 b=4.8792 c=4.8792 alpha=60.00 beta=60.00 gamma=60.00
Fractional positions:
Ce1 0.0000 0.0000 0.0000
Y1 0.5000 0.5000 0.5000
Ru1 0.7500 0.7500 0.7500
Rh1 0.2500 0.2500 0.2500

calculated total energy	-0.286	Ha/atom
distance to the lowest polymorph of the same formula	28	meV/atom
crystal system	cubic
energy relative to the elements	-52	kJ/mol of atoms


4.
VASP calculation (PBE) on crystalline Li2MgZn9 at its relaxed geometry.

Unit cell a=8.6761 b=8.6761 c=5.1063 alpha=90.00 beta=90.00 gamma=90.00
Fractional positions:
Li1 0.1151 0.3849 0.0000
Li2 0.3849 0.8849 0.0000
Li3 0.6151 0.1151 0.0000
Li4 0.8849 0.6151 0.0000
Mg1 0.0000 0.0000 0.0000
Mg2 0.5000 0.5000 0.0000
Zn1 0.0000 0.5000 0.5000
Zn2 0.0594 0.2043 0.5000
Zn3 0.1813 0.6813 0.2352
Zn4 0.1813 0.6813 0.7648
Zn5 0.2043 0.9406 0.5000
Zn6 0.2957 0.4406 0.5000
Zn7 0.3187 0.1813 0.2352
Zn8 0.3187 0.1813 0.7648
Zn9 0.4406 0.7043 0.5000
Zn10 0.5000 0.0000 0.5000
Zn11 0.5594 0.2957 0.5000
Zn12 0.6813 0.8187 0.2352
Zn13 0.6813 0.8187 0.7648
Zn14 0.7043 0.5594 0.5000
Zn15 0.7957 0.0594 0.5000
Zn16 0.8187 0.3187 0.2352
Zn17 0.8187 0.3187 0.7648
Zn18 0.9406 0.7957 0.5000

calculated total energy	-0.056	Ha/atom
distance to the lowest polymorph of the same formula	0	meV/atom
crystal system	tetragonal
energy relative to the elements	-11	kJ/mol of atoms


5.
VASP calculation (PBE) on crystalline BaAs2Ir at its relaxed geometry.

Unit cell a=3.3537 b=3.3537 c=7.6452 alpha=90.00 beta=90.00 gamma=90.00
Fractional positions:
Ba1 0.0000 0.0000 0.0000
As1 0.5000 0.5000 0.3208
As2 0.5000 0.5000 0.6792
Ir1 0.0000 0.0000 0.5000

calculated total energy	-0.188	Ha/atom
crystal system	tetragonal
energy relative to the elements	-9	kJ/mol of atoms


6.
VASP calculation (PBE) on crystalline Ho3ErSc6 at its relaxed geometry.

Unit cell a=10.3830 b=10.3830 c=5.8279 alpha=90.00 beta=90.00 gamma=119.49
Fractional positions:
Ho1 0.1050 0.8950 0.5000
Ho2 0.2202 0.4316 0.0936
Ho3 0.4316 0.2202 0.5936
Ho4 0.5684 0.7798 0.0936
Ho5 0.7798 0.5684 0.5936
Ho6 0.8950 0.1050 0.0000
Er1 0.2896 0.7104 0.4057
Er2 0.7104 0.2896 0.9057
Sc1 0.0397 0.4673 0.6980
Sc2 0.1136 0.2170 0.5398
Sc3 0.2144 0.7856 0.9234
Sc4 0.2170 0.1136 0.0398
Sc5 0.4521 0.5479 0.6295
Sc6 0.4673 0.0397 0.1980
Sc7 0.5327 0.9603 0.6980
Sc8 0.5479 0.4521 0.1295
Sc9 0.7830 0.8864 0.5398
Sc10 0.7856 0.2144 0.4234
Sc11 0.8864 0.7830 0.0398
Sc12 0.9603 0.5327 0.1980

calculated total energy	-0.201	Ha/atom
distance to the lowest polymorph of the same formula	0	meV/atom
crystal system	orthorhombic
energy relative to the elements	15	kJ/mol of atoms